No. 1
Computed, not measured: a crystal of IrPb2Cl relaxed with PBEsol at the meta-GGA SCAN level of DFT.

a = 3.9380 Å, b = 3.9380 Å, c = 6.6411 Å
α = 107.25°, β = 107.25°, γ = 90.00°
Fractional positions:
Pb (0.0000, 0.0000, 0.0000)
Cl (0.5000, 0.5000, 0.0000)
Pb (0.7500, 0.2500, 0.5000)
Ir (0.2500, 0.7500, 0.5000)

Output
As for the density of states at the Fermi level: 0.41 states/eV/atom. The calculation puts the formation energy without anion corrections at 336 meV per atom. Its space-group type is I-4m2, No. 119. As for the calculated total energy: -57.324 eV/atom.

---

No. 2
Computed, not measured: a crystal of IrPbCl relaxed with PBEsol at the meta-GGA SCAN level of DFT.

a = 3.2477 Å, b = 4.4686 Å, c = 4.4686 Å
α = 120.00°, β = 90.00°, γ = 90.00°
Fractional positions:
Ir (0.8330, 0.3333, 0.6667)
Cl (0.8334, 0.0000, 0.0000)
Pb (0.3336, 0.6667, 0.3333)

Output
As for the density of states at the Fermi level: 0.22 states/eV/atom. The calculation puts the formation energy without anion corrections at 493 meV per atom. Its space-group type is P-6m2, No. 187. As for the calculated total energy: -51.127 eV/atom.